Here is a geometry-optimized TmNiAg structure from the Open Quantum Materials Database. Energies are from GGA-PBE.

```
3
Lattice="-0.668 -3.952 1.871 -3.772 -0.814 2.163 -2.978 -2.784 -1.717" Properties=species:S:1:pos:R:3 pbc="T T T"
Ag -1.854 -1.888 0.579
Ni 0.000 0.000 0.000
Tm -5.563 -5.663 1.738
```

Calculated values
ΔE_f ... -0.187 eV/atom
Theoretical density ... 9.10 g/cm3
V ... 61.2 Å³/cell



Here is a geometry-optimized TmNiAg structure from the Open Quantum Materials Database. Energies are from GGA-PBE.

```
3
Lattice="0.000 3.222 3.222 3.222 0.000 3.222 3.222 3.222 0.000" Properties=species:S:1:pos:R:3 pbc="T T T"
Ag 1.611 1.611 1.611
Ni 4.834 4.834 4.834
Tm 0.000 0.000 0.000
```

Calculated values
ΔE_f ... 0.259 eV/atom
Theoretical density ... 8.32 g/cm3
V ... 66.9 Å³/cell



Here is a geometry-optimized NiAg2W structure from the Open Quantum Materials Database. Energies are from GGA-PBE.

```
4
Lattice="-4.094 -1.358 -0.996 -2.611 -1.665 3.164 -3.503 2.305 1.419" Properties=species:S:1:pos:R:3 pbc="T T T"
Ag 0.000 0.000 0.000
Ag -2.552 -0.179 0.897
Ni -7.656 -0.538 2.690
W -5.104 -0.359 1.794
```

Calculated values
ΔE_f ... 0.655 eV/atom
Theoretical density ... 12.41 g/cm3
V ... 61.3 Å³/cell



Here is a geometry-optimized Y2NiAg2 structure from the Open Quantum Materials Database. Energies are from GGA-PBE.

```
5
Lattice="-1.943 1.943 6.810 1.943 -1.943 6.810 1.943 1.943 -6.810" Properties=species:S:1:pos:R:3 pbc="T T T"
Ag 0.000 1.943 3.405
Ag 1.943 0.000 3.405
Ni 0.000 0.000 0.000
Y 0.000 0.000 5.488
Y 0.000 0.000 8.132
```

Calculated values
ΔE_f ... 0.252 eV/atom
Theoretical density ... 7.30 g/cm3
V ... 102.9 Å³/cell



Here is a geometry-optimized Y2Ni2Ag structure from the Open Quantum Materials Database. Energies are from GGA-PBE.

```
10
Lattice="7.317 0.000 0.000 0.000 7.317 0.000 0.000 0.000 3.646" Properties=species:S:1:pos:R:3 pbc="T T T"
Ag 0.000 0.000 0.000
Ag 3.659 3.659 0.000
Ni 4.519 0.861 0.000
Ni 0.861 2.798 0.000
Ni 6.456 4.519 0.000
Ni 2.798 6.456 0.000
Y 2.362 1.296 1.823
Y 6.021 2.362 1.823
Y 1.296 4.955 1.823
Y 4.955 6.021 1.823
```

Calculated values
ΔE_f ... -0.410 eV/atom
Theoretical density ... 6.86 g/cm3
V ... 195.2 Å³/cell



Here is a geometry-optimized YNiAg2 structure from the Open Quantum Materials Database. Energies are from GGA-PBE.

```
4
Lattice="-3.045 -2.351 2.760 -1.827 -4.116 -1.462 1.322 -4.046 2.073" Properties=species:S:1:pos:R:3 pbc="T T T"
Ag 0.000 0.000 0.000
Ag -2.663 -7.885 2.528
Ni -0.888 -2.628 0.843
Y -1.775 -5.257 1.685
```

Calculated values
ΔE_f ... -0.152 eV/atom
Theoretical density ... 8.04 g/cm3
V ... 75.0 Å³/cell



Here is a geometry-optimized ZnNi2Ag structure from the Open Quantum Materials Database. Energies are from GGA-PBE.

```
4
Lattice="0.000 2.981 2.981 2.981 0.000 2.981 2.981 2.981 0.000" Properties=species:S:1:pos:R:3 pbc="T T T"
Ag 1.490 1.490 1.490
Ni 0.000 0.000 0.000
Ni 4.471 4.471 4.471
Zn 2.981 2.981 2.981
```

Calculated values
ΔE_f ... 0.062 eV/atom
Theoretical density ... 9.11 g/cm3
V ... 53.0 Å³/cell



Here is a geometry-optimized Zr2Ni2Ag structure from the Open Quantum Materials Database. Energies are from GGA-PBE.

```
10
Lattice="7.142 0.000 0.000 0.000 7.142 0.000 0.000 0.000 3.293" Properties=species:S:1:pos:R:3 pbc="T T T"
Ag 0.000 0.000 0.000
Ag 3.571 3.571 0.000
Ni 4.461 0.890 0.000
Ni 0.890 2.681 0.000
Ni 6.252 4.461 0.000
Ni 2.681 6.252 0.000
Zr 2.348 1.223 1.647
Zr 5.919 2.348 1.647
Zr 1.223 4.794 1.647
Zr 4.794 5.919 1.647
```

Calculated values
ΔE_f ... -0.371 eV/atom
Theoretical density ... 8.06 g/cm3
V ... 168.0 Å³/cell



Here is a geometry-optimized ZrNiAg2 structure from the Open Quantum Materials Database. Energies are from GGA-PBE.

```
4
Lattice="-0.779 -4.465 0.749 0.698 -1.785 4.175 -3.579 -1.309 2.566" Properties=species:S:1:pos:R:3 pbc="T T T"
Ag 0.000 0.000 0.000
Ag -2.744 -5.670 5.617
Ni -0.915 -1.890 1.872
Zr -1.830 -3.780 3.745
```

Calculated values
ΔE_f ... -0.034 eV/atom
Theoretical density ... 8.86 g/cm3
V ... 68.6 Å³/cell



Here is a geometry-optimized NpAg structure from the Open Quantum Materials Database. Energies are from GGA-PBE.

```
2
Lattice="0.577 -4.558 -1.025 -3.742 -2.686 -0.970 -0.721 -1.534 -4.392" Properties=species:S:1:pos:R:3 pbc="T T T"
Ag 0.000 0.000 0.000
Np -0.972 -2.195 -1.597
```

Calculated values
ΔE_f ... 1.477 eV/atom
Theoretical density ... 7.76 g/cm3
V ... 73.8 Å³/cell



Here is a geometry-optimized NpAg structure from the Open Quantum Materials Database. Energies are from GGA-PBE.

```
2
Lattice="0.000 3.017 3.017 3.017 0.000 3.017 3.017 3.017 0.000" Properties=species:S:1:pos:R:3 pbc="T T T"
Ag 0.000 0.000 0.000
Np 3.017 3.017 3.017
```

Calculated values
ΔE_f ... 0.865 eV/atom
Theoretical density ... 10.42 g/cm3
V ... 54.9 Å³/cell



Here is a geometry-optimized NpAg structure from the Open Quantum Materials Database. Energies are from GGA-PBE.

```
2
Lattice="-1.114 2.506 -0.845 -1.502 -1.727 1.731 2.262 2.511 4.467" Properties=species:S:1:pos:R:3 pbc="T T T"
Ag 0.453 2.979 3.364
Np -0.807 0.312 1.989
```

Calculated values
ΔE_f ... 0.194 eV/atom
Theoretical density ... 14.33 g/cm3
V ... 40.0 Å³/cell



Here is a geometry-optimized NpAgOs structure from the Open Quantum Materials Database. Energies are from GGA-PBE.

```
3
Lattice="0.000 3.189 3.189 3.189 0.000 3.189 3.189 3.189 0.000" Properties=species:S:1:pos:R:3 pbc="T T T"
Ag 1.594 1.594 1.594
Np 4.783 4.783 4.783
Os 0.000 0.000 0.000
```

Calculated values
ΔE_f ... 0.671 eV/atom
Theoretical density ... 13.70 g/cm3
V ... 64.8 Å³/cell



Here is a geometry-optimized NpAgOs structure from the Open Quantum Materials Database. Energies are from GGA-PBE.

```
3
Lattice="-0.106 -4.336 1.301 0.859 -1.093 4.310 -3.344 -1.482 2.670" Properties=species:S:1:pos:R:3 pbc="T T T"
Ag -0.648 -1.728 2.070
Np 0.000 0.000 0.000
Os -1.943 -5.183 6.210
```

Calculated values
ΔE_f ... 1.008 eV/atom
Theoretical density ... 13.53 g/cm3
V ... 65.7 Å³/cell